## Ba2CrAu (PBE-GGA)

Data for a relaxed Ba2CrAu crystal.

The structure belongs to space group P4/mmm (No. 123); the cell edges are 5.765, 5.765 and 4.116 Å and the angles 90.00°, 90.00° and 90.00°. The asymmetric unit holds Ba at (0.000, 0.500, 0.000), Cr at (0.000, 0.000, 0.500) and Au at (0.500, 0.500, 0.500).

Its excess energy over the best structure of this formula in the dataset is 0.124 eV/atom. As for the total energy: -4.08 eV per atom. The formation energy is 2.38 kcal/mol of atoms.

## BaCrAu (PBE-GGA)

Data for a relaxed BaCrAu crystal.

The structure belongs to space group F-43m (No. 216); the cell edges are 7.636, 7.636 and 7.636 Å and the angles 90.00°, 90.00° and 90.00°. The asymmetric unit holds Ba at (0.000, 0.000, 0.000), Cr at (0.250, 0.250, 0.250) and Au at (0.250, 0.250, 0.750).

Its excess energy over the best structure of this formula in the dataset is 0.615 eV/atom. As for the total energy: -4.29 eV per atom. The formation energy is 14.98 kcal/mol of atoms.

## BaCrHAu2 (PBE-GGA)

Data for a relaxed BaCrHAu2 crystal.

The structure belongs to space group P4/mmm (No. 123); the cell edges are 4.717, 4.717 and 4.705 Å and the angles 90.00°, 90.00° and 90.00°. The asymmetric unit holds Ba at (0.000, 0.000, 0.000), Cr at (0.500, 0.500, 0.000), H at (0.000, 0.000, 0.500) and Au at (0.000, 0.500, 0.500).

As for the total energy: -3.94 eV per atom.

## BaCrHgAu2 (PBE-GGA)

Data for a relaxed BaCrHgAu2 crystal.

The structure belongs to space group P4/mmm (No. 123); the cell edges are 5.341, 5.341 and 6.071 Å and the angles 90.00°, 90.00° and 90.00°. The asymmetric unit holds Ba at (0.000, 0.000, 0.000), Cr at (0.500, 0.500, 0.000), Hg at (0.000, 0.000, 0.500) and Au at (0.000, 0.500, 0.500).

As for the total energy: -3.07 eV per atom. The formation energy is 14.08 kcal/mol of atoms.

## Ba2CrInAu (PBE-GGA)

Data for a relaxed Ba2CrInAu crystal.

The structure belongs to space group P4/mmm (No. 123); the cell edges are 5.511, 5.511 and 4.933 Å and the angles 90.00°, 90.00° and 90.00°. The asymmetric unit holds Ba at (0.000, 0.500, 0.000), Cr at (0.000, 0.000, 0.000), In at (0.000, 0.000, 0.500) and Au at (0.500, 0.500, 0.500).

As for the total energy: -3.50 eV per atom. The formation energy is 9.12 kcal/mol of atoms.

## Ba2CrAuN (PBE-GGA)

Data for a relaxed Ba2CrAuN crystal.

The structure belongs to space group P4/mmm (No. 123); the cell edges are 5.885, 5.885 and 3.807 Å and the angles 90.00°, 90.00° and 90.00°. The asymmetric unit holds Ba at (0.000, 0.500, 0.000), Cr at (0.000, 0.000, 0.500), Au at (0.500, 0.500, 0.500) and N at (0.000, 0.000, 0.000).

The formation energy from raw total energies is -0.45 eV per atom. As for the total energy: -5.46 eV per atom.

## RbBaCr2Au (PBE-GGA)

Data for a relaxed RbBaCr2Au crystal.

The structure belongs to space group P4/mmm (No. 123); the cell edges are 5.876, 5.876 and 6.028 Å and the angles 90.00°, 90.00° and 90.00°. The asymmetric unit holds Rb at (0.000, 0.000, 0.000), Ba at (0.500, 0.500, 0.500), Cr at (0.000, 0.500, 0.000) and Au at (0.000, 0.000, 0.500).

As for the total energy: -3.81 eV per atom. The formation energy is 29.32 kcal/mol of atoms.

## BaCrRh2Au (PBE-GGA)

Data for a relaxed BaCrRh2Au crystal.

The structure belongs to space group P4/mmm (No. 123); the cell edges are 4.631, 4.631 and 5.187 Å and the angles 90.00°, 90.00° and 90.00°. The asymmetric unit holds Ba at (0.000, 0.000, 0.000), Cr at (0.500, 0.500, 0.500), Rh at (0.000, 0.500, 0.500) and Au at (0.500, 0.500, 0.000).

As for the total energy: -5.70 eV per atom. The formation energy is 4.78 kcal/mol of atoms.